--- A ---
Material: AsW2Br
Method: DFT, PBE
State: relaxed Values from VASP.

SG: R-3m (166)
ρ, g/cm³: 12.867

Geometry as Quantum ESPRESSO input:
```
&SYSTEM
  ibrav = 0, nat = 4, ntyp = 3
/
ATOMIC_SPECIES
As 74.92 As.upf
W 183.84 W.upf
Br 79.90 Br.upf
ATOMIC_POSITIONS crystal
As 0.0000 0.0000 0.0000
W 0.2552 0.2552 0.2552
W 0.7448 0.7448 0.7448
Br 0.5000 0.5000 0.5000
CELL_PARAMETERS angstrom
1.5258 0.8809 8.3612
-1.5258 0.8809 8.3612
0.0000 -1.7619 8.3612
```



--- B ---
Material: AsW2Br
Method: DFT, PBE
State: relaxed Values from VASP.

SG: P2/m (10)
ρ, g/cm³: 13.061

Geometry as Quantum ESPRESSO input:
```
&SYSTEM
  ibrav = 0, nat = 4, ntyp = 3
/
ATOMIC_SPECIES
As 74.92 As.upf
W 183.84 W.upf
Br 79.90 Br.upf
ATOMIC_POSITIONS crystal
As 0.0000 0.0000 0.0000
W 0.5000 0.0000 0.5000
W 0.5000 0.5000 0.0000
Br 0.0000 0.5000 0.5000
CELL_PARAMETERS angstrom
4.5074 0.0000 0.0000
0.0000 3.0182 0.0000
-2.0994 0.0000 4.8831
```



Which structure is most stable? A, by 103 meV/atom over the runner-up.



--- A ---
Material: AsWBr
Method: DFT, PBE
State: relaxed Values from VASP.

SG: Fmm2 (42)
ρ, g/cm³: 8.478

Geometry as Quantum ESPRESSO input:
```
&SYSTEM
  ibrav = 0, nat = 3, ntyp = 3
/
ATOMIC_SPECIES
As 74.92 As.upf
W 183.84 W.upf
Br 79.90 Br.upf
ATOMIC_POSITIONS crystal
As 0.0000 0.0000 0.0000
W 0.3723 0.3723 0.6277
Br 0.7357 0.7357 0.2643
CELL_PARAMETERS angstrom
0.0000 2.6770 7.5941
1.6314 0.0000 7.5941
1.6314 2.6770 0.0000
```



--- B ---
Material: AsWBr
Method: DFT, PBE
State: relaxed Values from VASP.

SG: F-43m (216)
ρ, g/cm³: 8.766

Geometry as Quantum ESPRESSO input:
```
&SYSTEM
  ibrav = 0, nat = 3, ntyp = 3
/
ATOMIC_SPECIES
As 74.92 As.upf
W 183.84 W.upf
Br 79.90 Br.upf
ATOMIC_POSITIONS crystal
As 0.0000 0.0000 0.0000
W 0.2500 0.2500 0.2500
Br 0.5000 0.5000 0.5000
CELL_PARAMETERS angstrom
0.0000 3.1774 3.1774
3.1774 0.0000 3.1774
3.1774 3.1774 0.0000
```



--- C ---
Material: AsWBr
Method: DFT, PBE
State: relaxed Values from VASP.

SG: I4mm (107)
ρ, g/cm³: 8.789

Geometry as Quantum ESPRESSO input:
```
&SYSTEM
  ibrav = 0, nat = 3, ntyp = 3
/
ATOMIC_SPECIES
As 74.92 As.upf
W 183.84 W.upf
Br 79.90 Br.upf
ATOMIC_POSITIONS crystal
As 0.0000 0.0000 0.0000
W 0.3871 0.3871 0.0000
Br 0.7544 0.7544 0.0000
CELL_PARAMETERS angstrom
-1.5684 1.5684 6.5028
1.5684 -1.5684 6.5028
1.5684 1.5684 -6.5028
```



--- D ---
Material: AsWBr
Method: DFT, PBE
State: relaxed Values from VASP.

SG: F-43m (216)
ρ, g/cm³: 8.879

Geometry as Quantum ESPRESSO input:
```
&SYSTEM
  ibrav = 0, nat = 3, ntyp = 3
/
ATOMIC_SPECIES
As 74.92 As.upf
W 183.84 W.upf
Br 79.90 Br.upf
ATOMIC_POSITIONS crystal
As 0.0000 0.0000 0.0000
W 0.2500 0.2500 0.2500
Br 0.7500 0.7500 0.7500
CELL_PARAMETERS angstrom
0.0000 3.1638 3.1638
3.1638 0.0000 3.1638
3.1638 3.1638 0.0000
```



Which structure is most stable? C, by 219 meV/atom over the runner-up.